This record from Alexandria describes a relaxed Ac crystal. The functional is PBEsol.

Values from the calculation:
Its energy above the lowest structure with this stoichiometry is 0.000 eV per atom. The total DFT energy (no corrections) is -4.50 eV per atom. The density of states at the Fermi level comes out at 1.55 states/eV/f.u.

Cell and atoms, written as CIF:
```
data_Ac
_chemical_formula_sum 'Ac4'
_symmetry_space_group_name_H-M 'P 63/m m c'
_symmetry_Int_Tables_number 194
_symmetry_space_group_name_Hall '-P 6c 2c'
_cell_length_a 3.9225
_cell_length_b 3.9225
_cell_length_c 12.6950
_cell_angle_alpha 90.00
_cell_angle_beta 90.00
_cell_angle_gamma 120.00
loop_
_atom_site_label
_atom_site_type_symbol
_atom_site_fract_x
_atom_site_fract_y
_atom_site_fract_z
Ac1 Ac 0.0000 0.0000 0.0000
Ac2 Ac 0.3333 0.6667 0.2500
```